Entry 1:
{
  "formula": "PuUOs2",
  "functional": "PBE-GGA",
  "state": "relaxed",
  "lattice": [[4.599, 0.000, 0.000], [0.000, 5.404, 1.254], [0.000, -1.200, 2.636]],
  "species": ["Os", "U", "Pu", "Os"],
  "fractional_positions": [[0.000, 0.474, 0.562], [0.500, 0.250, 0.750], [0.500, 0.750, 0.250], [0.000, 0.026, 0.938]],
  "formation_energy_ev_per_atom": 0.100
}



Entry 2:
{
  "formula": "CaMgC3",
  "functional": "PBE-GGA",
  "state": "relaxed",
  "lattice": [[4.403, 0.000, 0.000], [0.000, 4.403, 0.000], [0.000, 0.000, 4.403]],
  "species": ["Mg", "C", "C", "C", "Ca"],
  "fractional_positions": [[0.500, 0.500, 0.500], [0.500, 0.000, 0.000], [0.000, 0.500, 0.000], [0.000, 0.000, 0.500], [0.000, 0.000, 0.000]],
  "formation_energy_ev_per_atom": 2.940,
  "relative_energy_mev_per_atom": 875
}



Entry 3:
{
  "formula": "Y5Pt",
  "functional": "PBE-GGA",
  "state": "relaxed",
  "lattice": [[3.090, 5.065, -1.307], [-5.847, 0.340, 1.614], [1.581, 0.487, 5.625]],
  "species": ["Pt", "Y", "Y", "Y", "Y", "Y"],
  "fractional_positions": [[0.000, 0.000, 0.000], [0.667, 0.333, 0.000], [0.000, 0.500, 0.500], [0.500, 0.000, 0.500], [0.500, 0.500, 0.500], [0.333, 0.667, 0.000]],
  "formation_energy_ev_per_atom": 0.609,
  "relative_energy_mev_per_atom": 1004
}



Entry 4:
{
  "formula": "Y2CrAs",
  "functional": "PBE-GGA",
  "state": "relaxed",
  "lattice": [[-4.743, -3.784, -1.249], [-3.341, -4.756, 2.145], [-3.754, 1.424, 1.959]],
  "species": ["Y", "As", "Y", "Cr"],
  "fractional_positions": [[0.240, 0.240, 0.261], [0.461, 0.461, 0.539], [0.010, 0.010, 0.990], [0.789, 0.789, 0.711]],
  "formation_energy_ev_per_atom": -0.321
}



Entry 5:
{
  "formula": "In2GaTeIr",
  "functional": "PBE-GGA",
  "state": "relaxed",
  "lattice": [[5.260, 0.000, 0.000], [0.000, 5.260, 0.000], [0.000, 0.000, 4.807]],
  "species": ["In", "In", "Te", "Ga", "Ir"],
  "fractional_positions": [[0.000, 0.500, 0.000], [0.500, 0.000, 0.000], [0.500, 0.500, 0.500], [0.000, 0.000, 0.500], [0.000, 0.000, 0.000]],
  "raw_formation_energy_ev_per_fu": -0.731
}



Entry 6:
{
  "formula": "EuYTh",
  "functional": "PBE-GGA",
  "state": "relaxed",
  "lattice": [[3.628, 0.000, 0.000], [0.000, 3.628, 0.000], [-1.814, -1.814, 7.894]],
  "species": ["Y", "Eu", "Th"],
  "fractional_positions": [[0.677, 0.677, 0.355], [0.996, 0.996, 0.992], [0.327, 0.327, 0.654]],
  "formation_energy_ev_per_atom": 0.092,
  "relative_energy_mev_per_atom": 12
}



Entry 7:
{
  "formula": "Th2TeI",
  "functional": "PBE-GGA",
  "state": "relaxed",
  "lattice": [[-1.541, 1.777, -3.079], [-3.554, -0.702, 1.374], [0.145, 6.753, 3.825]],
  "species": ["Th", "Th", "Te", "I"],
  "fractional_positions": [[0.000, 0.000, 0.241], [0.000, 0.000, 0.759], [0.500, 0.500, 0.000], [0.500, 0.500, 0.500]],
  "raw_formation_energy_ev_per_fu": -2.827,
  "relative_energy_mev_per_atom": 0
}



Entry 8:
{
  "formula": "Hg4Pb2Br",
  "functional": "PBE-GGA",
  "state": "relaxed",
  "lattice": [[-4.287, -1.322, 3.910], [1.828, -5.663, 0.089], [4.356, -1.584, 8.770]],
  "species": ["Hg", "Hg", "Pb", "Br", "Hg", "Pb", "Hg"],
  "fractional_positions": [[0.212, 0.212, 0.576], [0.000, 0.500, 0.000], [0.585, 0.585, 0.830], [0.000, 0.000, 0.000], [0.788, 0.788, 0.424], [0.415, 0.415, 0.170], [0.500, 0.000, 0.000]],
  "raw_formation_energy_ev_per_fu": 1.212
}